Record 1
# Na3Ca3AsO8

Na3Ca3AsO8 after structural relaxation (GGA-PBE, Alexandria via LeMat-Bulk).

Summary:
N(E_F)   0.659 states/eV per atom
Formation energy without anion corrections   -1.904 eV/atom

Unit cell a=6.7379 b=6.7379 c=16.5271 alpha=90.00 beta=90.00 gamma=120.00
Space group R-3m (No. 166, hexagonal axes)
Asymmetric unit:
Na (0.0000, 0.5000, 0.0000) x9
Ca (0.0000, 0.5000, 0.5000) x9
As (0.0000, 0.0000, 0.5000) x3
O (0.0000, 0.0000, 0.2394) x6
O (0.0661, 0.5330, 0.2308) x18

***

Record 2
# Al5In3Hg12

Al5In3Hg12 after structural relaxation (GGA-PBE, Alexandria via LeMat-Bulk).

Summary:
N(E_F)   0.652 states/eV per atom
ΔH_f (0 K)   194 meV/atom

Unit cell a=16.4792 b=16.4792 c=16.4792 alpha=90.00 beta=90.00 gamma=90.00
Space group Ia-3d (No. 230)
Asymmetric unit:
Al (0.0000, 0.0000, 0.0000) x16
Al (0.0000, 0.2500, 0.3750) x24
In (0.0000, 0.2500, 0.1250) x24
Hg (0.0289, 0.0730, 0.6464) x96

***

Record 3
# Zr3Tl4CuTe8

Zr3Tl4CuTe8 after structural relaxation (GGA-PBE, Alexandria via LeMat-Bulk).

Summary:
N(E_F)   0.326 states/eV per atom
Formation energy without anion corrections   -0.533 eV/atom

Unit cell a=14.4836 b=8.3525 c=9.5516 alpha=90.00 beta=120.38 gamma=90.00
Space group C2/m (No. 12)
Asymmetric unit:
Zr (0.0000, 0.0000, 0.0000) x2
Zr (0.2500, 0.2500, 0.0000) x4
Tl (0.0000, 0.0000, 0.5000) x2
Tl (0.0000, 0.5000, 0.5000) x2
Tl (0.2500, 0.2500, 0.5000) x4
Cu (0.0000, 0.5000, 0.0000) x2
Te (0.0154, 0.2562, 0.8025) x8
Te (0.2287, 0.5000, 0.1979) x4
Te (0.2365, 0.0000, 0.2097) x4

***

Record 4
# SrNp2Sn9

SrNp2Sn9 after structural relaxation (GGA-PBE, Alexandria via LeMat-Bulk).

Summary:
N(E_F)   2.104 states/eV per atom
ΔH_f (0 K)   -219 meV/atom

Unit cell a=4.7197 b=4.7197 c=14.1381 alpha=90.00 beta=90.00 gamma=90.00
Space group P4/mmm (No. 123)
Asymmetric unit:
Sr (0.0000, 0.0000, 0.0000) x1
Np (0.0000, 0.0000, 0.3401) x2
Sn (0.0000, 0.5000, 0.1750) x4
Sn (0.0000, 0.5000, 0.5000) x2
Sn (0.5000, 0.5000, 0.0000) x1
Sn (0.5000, 0.5000, 0.3368) x2

***

Record 5
# Be3ZnCo

Be3ZnCo after structural relaxation (GGA-PBE, Alexandria via LeMat-Bulk).

Summary:
N(E_F)   0.388 states/eV per atom
ΔH_f (0 K)   533 meV/atom

Unit cell a=3.9467 b=3.9467 c=3.9467 alpha=90.00 beta=90.00 gamma=90.00
Space group Pm-3m (No. 221)
Asymmetric unit:
Be (0.0000, 0.0000, 0.5000) x3
Zn (0.5000, 0.5000, 0.5000) x1
Co (0.0000, 0.0000, 0.0000) x1

***

Record 6
# CaMgTc2

CaMgTc2 after structural relaxation (GGA-PBE, Alexandria via LeMat-Bulk).

Summary:
N(E_F)   0.733 states/eV per atom
ΔH_f (0 K)   331 meV/atom

Unit cell a=8.1470 b=3.1661 c=6.7589 alpha=90.00 beta=97.09 gamma=90.00
Space group Cm (No. 8)
Asymmetric unit:
Ca (0.0000, 0.0000, 0.0000) x2
Mg (0.2780, 0.5000, 0.3570) x2
Tc (0.0203, 0.5000, 0.5857) x2
Tc (0.2429, 0.0000, 0.7030) x2

***

- Which of these has the lowest N(E_F)?
  Zr3Tl4CuTe8

***

- Which of these has the highest N(E_F)?
  SrNp2Sn9

***

- What is the N(E_F) in the fifth record?
  0.388 states/eV per atom

***

Please write out number 2 again, unchanged.
# Al5In3Hg12

Al5In3Hg12 after structural relaxation (GGA-PBE, Alexandria via LeMat-Bulk).

Summary:
N(E_F)   0.652 states/eV per atom
ΔH_f (0 K)   194 meV/atom

Unit cell a=16.4792 b=16.4792 c=16.4792 alpha=90.00 beta=90.00 gamma=90.00
Space group Ia-3d (No. 230)
Asymmetric unit:
Al (0.0000, 0.0000, 0.0000) x16
Al (0.0000, 0.2500, 0.3750) x24
In (0.0000, 0.2500, 0.1250) x24
Hg (0.0289, 0.0730, 0.6464) x96